Record 1
# ZrMnAs | Alexandria via LeMat-Bulk | GGA-PBE | relaxed
data_ZrMnAs
_cell_length_a 4.094
_cell_length_b 4.094
_cell_length_c 3.504
_cell_angle_alpha 90.00
_cell_angle_beta 90.00
_cell_angle_gamma 120.00
_space_group_name_H-M_alt 'P 1'
_space_group_IT_number 1
_space_group_name_Hall 'P 1'
loop_
_atom_site_label
_atom_site_fract_x
_atom_site_fract_y
_atom_site_fract_z
_atom_site_occupancy
As1 0.000 0.000 0.167 1
Mn1 0.667 0.333 0.167 1
Zr1 0.333 0.667 0.666 1
# Total DFT energy (no corrections) (eV per cell): -23.7
# Total magnetization (μB/atom): 0.74
# E_form (eV/atom): -0.437

Record 2
# Zr5Mn2As5 | Alexandria via LeMat-Bulk | GGA-PBE | relaxed
data_Zr5Mn2As5
_cell_length_a 6.378
_cell_length_b 6.952
_cell_length_c 6.952
_cell_angle_alpha 77.85
_cell_angle_beta 62.70
_cell_angle_gamma 62.70
_space_group_name_H-M_alt 'P 1'
_space_group_IT_number 1
_space_group_name_Hall 'P 1'
loop_
_atom_site_label
_atom_site_fract_x
_atom_site_fract_y
_atom_site_fract_z
_atom_site_occupancy
Zr1 0.119 0.409 0.000 1
Zr2 0.528 0.591 0.000 1
Zr3 0.119 0.000 0.409 1
Zr4 0.528 0.000 0.591 1
Zr5 0.885 0.000 0.000 1
Mn1 0.256 0.500 0.500 1
Mn2 0.756 0.500 0.500 1
As1 0.007 0.708 0.292 1
As2 0.007 0.292 0.708 1
As3 0.715 0.292 0.292 1
As4 0.471 0.000 0.000 1
As5 0.300 0.708 0.708 1
# Total DFT energy (no corrections) (eV per cell): -91.7
# Total magnetization (μB/atom): 0.48
# E_form (eV/atom): -0.618

Record 3
# ZrMnAs | Alexandria via LeMat-Bulk | GGA-PBE | relaxed
data_ZrMnAs
_cell_length_a 4.240
_cell_length_b 4.240
_cell_length_c 4.240
_cell_angle_alpha 60.00
_cell_angle_beta 60.00
_cell_angle_gamma 60.00
_space_group_name_H-M_alt 'P 1'
_space_group_IT_number 1
_space_group_name_Hall 'P 1'
loop_
_atom_site_label
_atom_site_fract_x
_atom_site_fract_y
_atom_site_fract_z
_atom_site_occupancy
As1 0.500 0.500 0.500 1
Mn1 0.250 0.250 0.250 1
Zr1 0.000 0.000 0.000 1
# Total DFT energy (no corrections) (eV per cell): -23.2
# Total magnetization (μB/atom): 0.67
# E_form (eV/atom): -0.279

Record 4
# ZrMn2As | Alexandria via LeMat-Bulk | GGA-PBE | relaxed
data_ZrMn2As
_cell_length_a 4.961
_cell_length_b 4.961
_cell_length_c 4.961
_cell_angle_alpha 133.75
_cell_angle_beta 133.75
_cell_angle_gamma 67.48
_space_group_name_H-M_alt 'P 1'
_space_group_IT_number 1
_space_group_name_Hall 'P 1'
loop_
_atom_site_label
_atom_site_fract_x
_atom_site_fract_y
_atom_site_fract_z
_atom_site_occupancy
As1 0.750 0.250 0.500 1
Mn1 0.000 0.000 0.000 1
Mn2 0.250 0.750 0.500 1
Zr1 0.500 0.500 0.000 1
# Total DFT energy (no corrections) (eV per cell): -32.0
# Total magnetization (μB/atom): 1.20
# E_form (eV/atom): -0.128

Record 5
# Zr4MnAs | Alexandria via LeMat-Bulk | GGA-PBE | relaxed
data_Zr4MnAs
_cell_length_a 5.696
_cell_length_b 5.696
_cell_length_c 5.696
_cell_angle_alpha 60.00
_cell_angle_beta 60.00
_cell_angle_gamma 60.00
_space_group_name_H-M_alt 'P 1'
_space_group_IT_number 1
_space_group_name_Hall 'P 1'
loop_
_atom_site_label
_atom_site_fract_x
_atom_site_fract_y
_atom_site_fract_z
_atom_site_occupancy
Zr1 0.879 0.374 0.374 1
Zr2 0.374 0.374 0.879 1
Zr3 0.374 0.879 0.374 1
Zr4 0.374 0.374 0.374 1
Mn1 0.000 0.000 0.000 1
As1 0.750 0.750 0.750 1
# Total DFT energy (no corrections) (eV per cell): -45.2
# Total magnetization (μB/atom): 0.55
# E_form (eV/atom): 0.467

Record 6
# ZrMn2As | Alexandria via LeMat-Bulk | GGA-PBE | relaxed
data_ZrMn2As
_cell_length_a 3.273
_cell_length_b 3.272
_cell_length_c 5.940
_cell_angle_alpha 90.00
_cell_angle_beta 90.00
_cell_angle_gamma 90.00
_space_group_name_H-M_alt 'P 1'
_space_group_IT_number 1
_space_group_name_Hall 'P 1'
loop_
_atom_site_label
_atom_site_fract_x
_atom_site_fract_y
_atom_site_fract_z
_atom_site_occupancy
As1 0.500 0.500 0.796 1
Mn1 0.000 0.000 0.994 1
Mn2 0.500 0.500 0.221 1
Zr1 0.000 0.000 0.489 1
# Total DFT energy (no corrections) (eV per cell): -32.0
# Total magnetization (μB/atom): 1.29
# E_form (eV/atom): -0.117

Record 7
# ZrMn2As | Alexandria via LeMat-Bulk | GGA-PBE | relaxed
data_ZrMn2As
_cell_length_a 3.851
_cell_length_b 3.851
_cell_length_c 9.134
_cell_angle_alpha 77.83
_cell_angle_beta 77.83
_cell_angle_gamma 90.00
_space_group_name_H-M_alt 'P 1'
_space_group_IT_number 1
_space_group_name_Hall 'P 1'
loop_
_atom_site_label
_atom_site_fract_x
_atom_site_fract_y
_atom_site_fract_z
_atom_site_occupancy
As1 0.500 0.500 0.000 1
As2 0.250 0.750 0.500 1
Mn1 0.523 0.125 0.250 1
Mn2 0.227 0.625 0.250 1
Mn3 0.375 0.477 0.750 1
Mn4 0.875 0.773 0.750 1
Zr1 0.000 0.000 0.000 1
Zr2 0.750 0.250 0.500 1
# Total DFT energy (no corrections) (eV per cell): -62.3
# Total magnetization (μB/atom): 0.00
# E_form (eV/atom): 0.094

Record 8
# ZrMn2As | Alexandria via LeMat-Bulk | GGA-PBE | relaxed
data_ZrMn2As
_cell_length_a 5.299
_cell_length_b 5.299
_cell_length_c 3.040
_cell_angle_alpha 74.62
_cell_angle_beta 74.62
_cell_angle_gamma 117.17
_space_group_name_H-M_alt 'P 1'
_space_group_IT_number 1
_space_group_name_Hall 'P 1'
loop_
_atom_site_label
_atom_site_fract_x
_atom_site_fract_y
_atom_site_fract_z
_atom_site_occupancy
As1 0.000 0.500 0.500 1
Mn1 0.000 0.000 0.000 1
Mn2 0.500 0.500 0.000 1
Zr1 0.500 0.000 0.500 1
# Total DFT energy (no corrections) (eV per cell): -31.5
# Total magnetization (μB/atom): 1.36
# E_form (eV/atom): 0.006